4
Lattice="-0.352 3.701 2.355 -3.075 -2.978 1.023 0.653 -0.642 4.305" Properties=species:S:1:pos:R:3 comment="BeOsSe2 (meta-GGA SCAN, PBEsol geometry)" crystal_system=tetragonal e_tot_ev_per_fu=-113.7 e_form_raw_ev_per_atom=0.665 pbc="T T T"
Be -1.211 -1.810 2.664
Se -1.713 0.362 1.689
Se 0.151 1.530 3.330
Os 0.000 0.000 0.000

***

4
Lattice="3.586 0.000 0.000 0.000 3.586 0.000 -1.793 -1.793 3.702" Properties=species:S:1:pos:R:3 comment="Be2OsSe (meta-GGA SCAN, PBEsol geometry)" crystal_system=tetragonal e_tot_ev_per_fu=-99.1 e_form_raw_ev_per_atom=0.401 pbc="T T T"
Se 0.000 0.000 0.000
Be 0.000 1.793 1.851
Be 1.793 0.000 1.851
Os 1.793 1.793 0.000

***

4
Lattice="-2.585 -1.415 -0.274 0.936 -0.949 -3.936 1.794 -3.524 1.277" Properties=species:S:1:pos:R:3 comment="BeOs2Se (meta-GGA SCAN, PBEsol geometry)" crystal_system=tetragonal e_tot_ev_per_fu=-166.4 e_form_raw_ev_per_atom=0.446 polymorph_energy_mev_per_atom=134.2 pbc="T T T"
Se 0.073 -2.945 -1.466
Be -1.293 -0.708 -0.137
Os 0.897 -1.762 0.638
Os 0.468 -0.475 -1.968